An optimized crystal structure of Ho2ErNi. Source: the Alexandria database, functional PBE.

Lattice parameters (Å, degrees): 3.4244 3.4244 8.5540 90.00 90.00 90.00
Space group P4/mmm (No. 123)
Symmetry-distinct sites (fractional):
Ho 0.0000 0.0000 0.1886 [2 per cell]
Er 0.5000 0.5000 0.5000 [1 per cell]
Ni 0.5000 0.5000 0.0000 [1 per cell]

## Properties
- E_form: -0.168 eV/atom
- Electronic total energy: -20.173 eV per cell
- Energy above the most stable polymorph in this dataset: 93 meV per atom
- Magnetic moment: 0.000 μB/cell

---

An optimized crystal structure of TaBRu3. Source: the Alexandria database, functional PBE.

Lattice parameters (Å, degrees): 3.7197 3.7197 6.1654 90.00 90.00 90.00
Space group P4mm (No. 99)
Symmetry-distinct sites (fractional):
Ta 0.0000 0.0000 0.0000 [1 per cell]
B 0.5000 0.5000 0.4774 [1 per cell]
Ru 0.0000 0.0000 0.6118 [1 per cell]
Ru 0.0000 0.5000 0.2960 [2 per cell]

## Properties
- E_form: 0.653 eV/atom
- Electronic total energy: -43.091 eV per cell
- Magnetic moment: 0.000 μB/cell

---

An optimized crystal structure of PmGaGe2. Source: the Alexandria database, functional PBE.

Lattice parameters (Å, degrees): 4.9030 4.9030 19.9832 90.00 90.00 120.00
Space group R-3m (No. 166, hexagonal axes)
Symmetry-distinct sites (fractional):
Pm 0.0000 0.0000 0.0000 [3 per cell]
Ga 0.0000 0.0000 0.5000 [3 per cell]
Ge 0.0000 0.0000 0.3798 [6 per cell]

## Properties
- E_form: 0.213 eV/atom
- Electronic total energy: -48.485 eV per cell
- Energy above the most stable polymorph in this dataset: 681 meV per atom
- Magnetic moment: 0.000 μB/cell

---

- electronic total energy of number 1 (Ho2ErNi)?
  -20.173 eV per cell